Entry from Alexandria via LeMat-Bulk: Na2HfSc2Se6 after structural relaxation (GGA-PBE).

The space group is C2/m (No. 12) and the conventional cell measures 6.730, 11.618 and 7.457 Å, with angles of 90.00, 107.63 and 90.00 degrees. The inequivalent atoms are Na at (0.000, 0.167, 0.000), Hf at (0.000, 0.000, 0.500), Sc at (0.000, 0.333, 0.500), Se at (0.238, 0.164, 0.716) and Se at (0.243, 0.500, 0.715).

The uncorrected formation energy is -1525 meV/atom. For the density, the calculation gives 4.71 g/cm³. As for the crystal system: monoclinic.

---

Entry from Alexandria via LeMat-Bulk: NaHfScSn2 after structural relaxation (GGA-PBE).

The space group is P4/mmm (No. 123) and the conventional cell measures 5.578, 5.578 and 5.234 Å, with angles of 90.00, 90.00 and 90.00 degrees. The inequivalent atoms are Na at (0.000, 0.000, 0.000), Hf at (0.500, 0.500, 0.500), Sc at (0.500, 0.500, 0.000) and Sn at (0.000, 0.500, 0.500).

The formation energy from the elements is 0.3043 eV/atom. For the density, the calculation gives 4.93 g/cm³. As for the crystal system: tetragonal.

---

Entry from Alexandria via LeMat-Bulk: Na4Hf3ScTe8 after structural relaxation (GGA-PBE).

The space group is R-3m (No. 166, hexagonal axes) and the conventional cell measures 8.2214, 8.2214 and 23.2427 Å, with angles of 90.00, 90.00 and 120.00 degrees. The inequivalent atoms are Na at (0.0000, 0.0000, 0.0000), Na at (0.0000, 0.5000, 0.0000), Hf at (0.0000, 0.5000, 0.5000), Sc at (0.0000, 0.0000, 0.5000), Te at (0.0000, 0.0000, 0.2407) and Te at (0.0019, 0.5010, 0.7592).

The uncorrected formation energy is -909 meV/atom. For the density, the calculation gives 6.20 g/cm³. As for the crystal system: trigonal.

---

Entry from Alexandria via LeMat-Bulk: Na2Hf2ScTe6 after structural relaxation (GGA-PBE).

The space group is C2/m (No. 12) and the conventional cell measures 7.079, 12.283 and 8.156 Å, with angles of 90.00, 106.96 and 90.00 degrees. The inequivalent atoms are Na at (0.000, 0.165, 0.000), Hf at (0.000, 0.332, 0.500), Sc at (0.000, 0.000, 0.500), Te at (0.234, 0.500, 0.719) and Te at (0.244, 0.167, 0.722).

The uncorrected formation energy is -965 meV/atom. For the density, the calculation gives 5.94 g/cm³. As for the crystal system: monoclinic.

---

Entry from Alexandria via LeMat-Bulk: Na4HfSc3Te8 after structural relaxation (GGA-PBE).

The space group is R-3m (No. 166, hexagonal axes) and the conventional cell measures 8.3962, 8.3962 and 22.7693 Å, with angles of 90.00, 90.00 and 120.00 degrees. The inequivalent atoms are Na at (0.0000, 0.0000, 0.0000), Na at (0.0000, 0.5000, 0.0000), Hf at (0.0000, 0.0000, 0.5000), Sc at (0.0000, 0.5000, 0.5000), Te at (0.0000, 0.0000, 0.2406) and Te at (0.0032, 0.5016, 0.2404).

The uncorrected formation energy is -1096 meV/atom. For the density, the calculation gives 5.11 g/cm³. As for the crystal system: trigonal.

---

Entry from Alexandria via LeMat-Bulk: Na3HfSc2Te6 after structural relaxation (GGA-PBE).

The space group is C2/m (No. 12) and the conventional cell measures 7.246, 12.549 and 7.997 Å, with angles of 90.00, 107.61 and 90.00 degrees. The inequivalent atoms are Na at (0.000, 0.000, 0.000), Na at (0.000, 0.332, 0.000), Hf at (0.000, 0.500, 0.500), Sc at (0.000, 0.166, 0.500), Te at (0.239, 0.335, 0.722) and Te at (0.244, 0.000, 0.722).

The uncorrected formation energy is -1063 meV/atom. For the density, the calculation gives 5.28 g/cm³. As for the crystal system: monoclinic.

---

Entry from Alexandria via LeMat-Bulk: NaHfSe3 after structural relaxation (GGA-PBE).

The space group is P-1 (No. 2) and the conventional cell measures 5.221, 7.677 and 7.726 Å, with angles of 101.40, 90.01 and 109.88 degrees. The inequivalent atoms are Na at (0.138, 0.277, 0.359), Hf at (0.352, 0.704, 0.124), Se at (0.169, 0.338, 0.955), Se at (0.351, 0.702, 0.440) and Se at (0.461, 0.922, 0.838).

The uncorrected formation energy is -1065 meV/atom. For the density, the calculation gives 5.11 g/cm³. The value obtained for the offset from the most stable computed form is 0.000 kcal/mol of atoms. As for the crystal system: triclinic.

---

Entry from Alexandria via LeMat-Bulk: NaHfSe3 after structural relaxation (GGA-PBE).

The space group is Pm-3m (No. 221) and the conventional cell measures 4.940, 4.940 and 4.940 Å, with angles of 90.00, 90.00 and 90.00 degrees. The inequivalent atoms are Na at (0.000, 0.000, 0.000), Hf at (0.500, 0.500, 0.500) and Se at (0.000, 0.000, 0.500).

The uncorrected formation energy is 535 meV/atom. For the density, the calculation gives 6.04 g/cm³. The value obtained for the offset from the most stable computed form is 36.895 kcal/mol of atoms. As for the crystal system: cubic.

---

Entry from Alexandria via LeMat-Bulk: NaHfSe2 after structural relaxation (GGA-PBE).

The space group is I-42d (No. 122) and the conventional cell measures 6.556, 6.556 and 11.448 Å, with angles of 90.00, 90.00 and 90.00 degrees. The inequivalent atoms are Na at (0.000, 0.000, 0.000), Hf at (0.000, 0.000, 0.500) and Se at (0.211, 0.250, 0.625).

The uncorrected formation energy is -908 meV/atom. For the density, the calculation gives 4.85 g/cm³. As for the crystal system: tetragonal.

---

Entry from Alexandria via LeMat-Bulk: Na8HfSe6 after structural relaxation (GGA-PBE).

The space group is Pmn2_1 (No. 31) and the conventional cell measures 8.213, 8.686 and 12.192 Å, with angles of 90.00, 90.00 and 90.00 degrees. The inequivalent atoms are Na at (0.000, 0.134, 0.000), Na at (0.000, 0.235, 0.441), Na at (0.205, 0.576, 0.794), Na at (0.208, 0.703, 0.111), Na at (0.224, 0.943, 0.769), Hf at (0.000, 0.742, 0.468), Se at (0.000, 0.261, 0.219), Se at (0.000, 0.499, 0.589), Se at (0.000, 0.785, 0.932), Se at (0.000, 0.983, 0.584) and Se at (0.247, 0.744, 0.346).

The uncorrected formation energy is -1073 meV/atom. For the density, the calculation gives 3.19 g/cm³. As for the crystal system: orthorhombic.

---

Entry from Alexandria via LeMat-Bulk: NaHfSe2 after structural relaxation (GGA-PBE).

The space group is R3m (No. 160, hexagonal axes) and the conventional cell measures 3.7782, 3.7782 and 22.1092 Å, with angles of 90.00, 90.00 and 120.00 degrees. The inequivalent atoms are Na at (0.0000, 0.0000, 0.0000), Hf at (0.0000, 0.0000, 0.1681), Se at (0.0000, 0.0000, 0.5750) and Se at (0.0000, 0.0000, 0.7612).

The uncorrected formation energy is -1236 meV/atom. For the density, the calculation gives 6.55 g/cm³. As for the crystal system: trigonal.

---

Entry from Alexandria via LeMat-Bulk: NaHf2Se4 after structural relaxation (GGA-PBE).

The space group is Cmcm (No. 63) and the conventional cell measures 3.850, 12.703 and 13.466 Å, with angles of 90.00, 90.00 and 90.00 degrees. The inequivalent atoms are Na at (0.000, 0.111, 0.250), Hf at (0.000, 0.369, 0.066), Se at (0.000, 0.000, 0.000), Se at (0.000, 0.273, 0.614) and Se at (0.000, 0.436, 0.250).

The uncorrected formation energy is -1240 meV/atom. For the density, the calculation gives 7.02 g/cm³. The value obtained for the offset from the most stable computed form is 2.243 kcal/mol of atoms. As for the crystal system: orthorhombic.